1.
Ho2InHg6 (PBE, relaxed); total moment = 0.0000 μB per atom; DOS(E_F) = 4.5 states/eV/cell; ρ = 12.472 g cm⁻³; polymorph energy (0 for the lowest one) = 5 meV/atom
1.0
4.140 -4.368 0.000
4.140 4.368 0.000
-0.388 0.000 6.067
Ho In Hg
2 1 6
direct
0.176 0.176 0.177 Ho
0.824 0.824 0.823 Ho
0.500 0.500 0.500 In
0.001 0.669 0.333 Hg
0.331 0.669 0.000 Hg
0.331 0.999 0.667 Hg
0.669 0.001 0.333 Hg
0.669 0.331 0.000 Hg
0.999 0.331 0.667 Hg

=====

2.
HoInHgIr (PBE, relaxed); total moment = 0.0000 μB per atom; DOS(E_F) = 2.0 states/eV/cell; E = -4.44 eV/atom; ρ = 13.397 g cm⁻³
1.0
0.000 3.467 3.467
3.467 0.000 3.467
3.467 3.467 0.000
Ho In Hg Ir
1 1 1 1
direct
0.000 0.000 0.000 Ho
0.500 0.500 0.500 In
0.750 0.750 0.750 Hg
0.250 0.250 0.250 Ir

=====

3.
LaHo2In2Hg2 (PBE, relaxed); total moment = 0.0000 μB per atom; DOS(E_F) = 4.2 states/eV/cell; E = -3.21 eV/atom; ρ = 9.436 g cm⁻³
1.0
2.487 1.436 9.031
-2.487 1.436 9.031
0.000 -2.872 9.031
La Ho In Hg
1 2 2 2
direct
0.000 0.000 0.000 La
0.133 0.133 0.133 Ho
0.867 0.867 0.867 Ho
0.264 0.264 0.264 In
0.736 0.736 0.736 In
0.433 0.433 0.433 Hg
0.567 0.567 0.567 Hg

=====

4.
LaHoInHg (PBE, relaxed); total moment = 0.0055 μB per atom; DOS(E_F) = 5.1 states/eV/cell; E = -3.61 eV/atom; ρ = 9.018 g cm⁻³
1.0
0.000 3.849 3.849
3.849 0.000 3.849
3.849 3.849 0.000
La Ho In Hg
1 1 1 1
direct
0.000 0.000 0.000 La
0.500 0.500 0.500 Ho
0.750 0.750 0.750 In
0.250 0.250 0.250 Hg

=====

5.
LiHoInHg (PBE, relaxed); total moment = 0.0000 μB per atom; DOS(E_F) = 2.2 states/eV/cell; E = -2.79 eV/atom; ρ = 8.872 g cm⁻³
1.0
0.000 3.573 3.573
3.573 0.000 3.573
3.573 3.573 0.000
Li Ho In Hg
1 1 1 1
direct
0.000 0.000 0.000 Li
0.500 0.500 0.500 Ho
0.250 0.250 0.250 In
0.750 0.750 0.750 Hg

=====

6.
Li2HoIn2Hg2 (PBE, relaxed); total moment = 0.0000 μB per atom; DOS(E_F) = 3.5 states/eV/cell; E = -2.35 eV/atom; ρ = 8.664 g cm⁻³
1.0
2.408 1.390 7.728
-2.408 1.390 7.728
0.000 -2.780 7.728
Li Ho In Hg
2 1 2 2
direct
0.140 0.140 0.140 Li
0.860 0.860 0.860 Li
0.000 0.000 0.000 Ho
0.269 0.269 0.269 In
0.731 0.731 0.731 In
0.432 0.432 0.432 Hg
0.568 0.568 0.568 Hg

=====

7.
HoLuInHg (PBE, relaxed); total moment = 0.0001 μB per atom; DOS(E_F) = 4.0 states/eV/cell; E = -3.47 eV/atom; ρ = 10.683 g cm⁻³
1.0
0.000 3.707 3.707
3.707 0.000 3.707
3.707 3.707 0.000
Ho Lu In Hg
1 1 1 1
direct
0.000 0.000 0.000 Ho
0.500 0.500 0.500 Lu
0.250 0.250 0.250 In
0.750 0.750 0.750 Hg

=====

8.
HoMgInHg (PBE, relaxed); total moment = 0.0000 μB per atom; DOS(E_F) = 1.3 states/eV/cell; ρ = 8.759 g cm⁻³; polymorph energy (0 for the lowest one) = 3 meV/atom
1.0
4.148 0.000 0.000
0.000 4.773 0.000
0.000 0.000 4.832
Ho Mg In Hg
1 1 1 1
direct
0.000 0.000 0.000 Ho
0.000 0.500 0.500 Mg
0.500 0.500 0.000 In
0.500 0.000 0.500 Hg

=====

9.
HoMgInHg (PBE, relaxed); total moment = 0.0000 μB per atom; DOS(E_F) = 0.9 states/eV/cell; ρ = 8.760 g cm⁻³; polymorph energy (0 for the lowest one) = 0 meV/atom
1.0
0.000 3.630 3.630
3.630 0.000 3.630
3.630 3.630 0.000
Ho Mg In Hg
1 1 1 1
direct
0.000 0.000 0.000 Ho
0.500 0.500 0.500 Mg
0.250 0.250 0.250 In
0.750 0.750 0.750 Hg

=====

10.
HoMnInHg (PBE, relaxed); total moment = 0.9566 μB per atom; DOS(E_F) = 4.3 states/eV/cell; E = -4.28 eV/atom; ρ = 10.069 g cm⁻³
1.0
0.000 3.534 3.534
3.534 0.000 3.534
3.534 3.534 0.000
Ho Mn In Hg
1 1 1 1
direct
0.000 0.000 0.000 Ho
0.500 0.500 0.500 Mn
0.250 0.250 0.250 In
0.750 0.750 0.750 Hg

=====

11.
Ho4InHgN (PBE, relaxed); total moment = 0.0000 μB per atom; DOS(E_F) = 3.3 states/eV/cell; ρ = 9.542 g cm⁻³; energy relative to the elements, uncorrected = -0.73 eV per atom
1.0
3.392 -7.475 0.000
3.392 7.475 0.000
0.000 0.000 6.788
Ho In Hg N
8 2 2 2
direct
0.000 0.500 0.000 Ho
0.000 0.500 0.500 Ho
0.081 0.919 0.750 Ho
0.412 0.588 0.750 Ho
0.500 0.000 0.000 Ho
0.500 0.000 0.500 Ho
0.588 0.412 0.250 Ho
0.919 0.081 0.250 Ho
0.383 0.617 0.250 In
0.617 0.383 0.750 In
0.118 0.882 0.250 Hg
0.882 0.118 0.750 Hg
0.251 0.749 0.750 N
0.749 0.251 0.250 N

=====

12.
NaHoInHg (PBE, relaxed); total moment = 0.0001 μB per atom; DOS(E_F) = 2.3 states/eV/cell; ρ = 8.062 g cm⁻³; polymorph energy (0 for the lowest one) = 2 meV/atom
1.0
3.696 0.000 0.000
0.000 3.696 0.000
0.000 0.000 7.588
Na Ho In Hg
1 1 1 1
direct
0.000 0.000 0.000 Na
0.000 0.000 0.515 Ho
0.500 0.500 0.261 In
0.500 0.500 0.752 Hg